# 1
# TmHfBeRh, optimized geometry, DFT GGA-PBE
data_TmHfBeRh
_chemical_formula_sum 'Tm4 Hf4 Be4 Rh4'
_space_group_name_H-M_alt 'F -4 3 m'
_space_group_IT_number 216
_space_group_name_Hall 'F -4 2 3'
_cell_length_a 6.6058
_cell_length_b 6.6058
_cell_length_c 6.6058
_cell_angle_alpha 90.00
_cell_angle_beta 90.00
_cell_angle_gamma 90.00
loop_
_atom_site_label
_atom_site_type_symbol
_atom_site_fract_x
_atom_site_fract_y
_atom_site_fract_z
Tm1 Tm 0.0000 0.0000 0.0000
Hf1 Hf 0.0000 0.0000 0.5000
Be1 Be 0.2500 0.2500 0.2500
Rh1 Rh 0.2500 0.2500 0.7500
# Energy of formation from the pure elements   -0.35 eV per atom
# M_tot   0.00 μB/cell
# VASP energy   -107.595 eV/cell

=====

# 2
# HfBe9Ru2, optimized geometry, DFT GGA-PBE
data_HfBe9Ru2
_chemical_formula_sum 'Hf2 Be18 Ru4'
_space_group_name_H-M_alt 'P 63/m m c'
_space_group_IT_number 194
_space_group_name_Hall '-P 6c 2c'
_cell_length_a 4.4133
_cell_length_b 4.4133
_cell_length_c 13.9059
_cell_angle_alpha 90.00
_cell_angle_beta 90.00
_cell_angle_gamma 120.00
loop_
_atom_site_label
_atom_site_type_symbol
_atom_site_fract_x
_atom_site_fract_y
_atom_site_fract_z
Hf1 Hf 0.3333 0.6667 0.2500
Be1 Be 0.0000 0.0000 0.0000
Be2 Be 0.0000 0.0000 0.2500
Be3 Be 0.1703 0.3405 0.6198
Be4 Be 0.3333 0.6667 0.7500
Ru1 Ru 0.3333 0.6667 0.0380
# Energy of formation from the pure elements   -0.33 eV per atom
# M_tot   0.00 μB/cell
# VASP energy   -131.972 eV/cell

=====

# 3
# Hf2BeRu2, optimized geometry, DFT GGA-PBE
data_Hf2BeRu2
_chemical_formula_sum 'Hf4 Be2 Ru4'
_space_group_name_H-M_alt 'P 4/m b m'
_space_group_IT_number 127
_space_group_name_Hall '-P 4 2ab'
_cell_length_a 6.2984
_cell_length_b 6.2984
_cell_length_c 4.1468
_cell_angle_alpha 90.00
_cell_angle_beta 90.00
_cell_angle_gamma 90.00
loop_
_atom_site_label
_atom_site_type_symbol
_atom_site_fract_x
_atom_site_fract_y
_atom_site_fract_z
Hf1 Hf 0.1750 0.3250 0.0000
Be1 Be 0.0000 0.0000 0.5000
Ru1 Ru 0.1471 0.6471 0.5000
# Energy of formation from the pure elements   -0.33 eV per atom
# M_tot   0.00 μB/cell
# VASP energy   -87.647 eV/cell

=====

# 4
# HfBe9Ru2, optimized geometry, DFT GGA-PBE
data_HfBe9Ru2
_chemical_formula_sum 'Hf3 Be27 Ru6'
_space_group_name_H-M_alt 'R -3 m'
_space_group_IT_number 166
_space_group_name_Hall '-R 3 2"'
_cell_length_a 4.4029
_cell_length_b 4.4029
_cell_length_c 20.9272
_cell_angle_alpha 90.00
_cell_angle_beta 90.00
_cell_angle_gamma 120.00
loop_
_atom_site_label
_atom_site_type_symbol
_atom_site_fract_x
_atom_site_fract_y
_atom_site_fract_z
Hf1 Hf 0.0000 0.0000 0.0000
Be1 Be 0.0000 0.0000 0.3328
Be2 Be 0.0000 0.0000 0.5000
Be3 Be 0.0059 0.5029 0.9136
Ru1 Ru 0.0000 0.0000 0.1410
# Energy of formation from the pure elements   -0.33 eV per atom
# M_tot   0.00 μB/cell
# VASP energy   -197.907 eV/cell

=====

# 5
# HfBe3Ru, optimized geometry, DFT GGA-PBE
data_HfBe3Ru
_chemical_formula_sum 'Hf1 Be3 Ru1'
_space_group_name_H-M_alt 'P m -3 m'
_space_group_IT_number 221
_space_group_name_Hall '-P 4 2 3'
_cell_length_a 4.0907
_cell_length_b 4.0907
_cell_length_c 4.0907
_cell_angle_alpha 90.00
_cell_angle_beta 90.00
_cell_angle_gamma 90.00
loop_
_atom_site_label
_atom_site_type_symbol
_atom_site_fract_x
_atom_site_fract_y
_atom_site_fract_z
Hf1 Hf 0.0000 0.0000 0.0000
Be1 Be 0.0000 0.5000 0.5000
Ru1 Ru 0.5000 0.5000 0.5000
# Energy of formation from the pure elements   0.15 eV per atom
# M_tot   0.00 μB/cell
# VASP energy   -29.679 eV/cell
# Polymorph energy (0 for the lowest one)   0 meV/atom

=====

# 6
# Hf2Be2Ru, optimized geometry, DFT GGA-PBE
data_Hf2Be2Ru
_chemical_formula_sum 'Hf4 Be4 Ru2'
_space_group_name_H-M_alt 'P 4/m b m'
_space_group_IT_number 127
_space_group_name_Hall '-P 4 2ab'
_cell_length_a 6.4651
_cell_length_b 6.4651
_cell_length_c 3.4759
_cell_angle_alpha 90.00
_cell_angle_beta 90.00
_cell_angle_gamma 90.00
loop_
_atom_site_label
_atom_site_type_symbol
_atom_site_fract_x
_atom_site_fract_y
_atom_site_fract_z
Hf1 Hf 0.1808 0.3192 0.0000
Be1 Be 0.1162 0.6162 0.5000
Ru1 Ru 0.0000 0.0000 0.5000
# Energy of formation from the pure elements   -0.37 eV per atom
# M_tot   0.00 μB/cell
# VASP energy   -77.011 eV/cell

=====

# 7
# HfBe3Ru, optimized geometry, DFT GGA-PBE
data_HfBe3Ru
_chemical_formula_sum 'Hf1 Be3 Ru1'
_space_group_name_H-M_alt 'P m -3 m'
_space_group_IT_number 221
_space_group_name_Hall '-P 4 2 3'
_cell_length_a 4.4353
_cell_length_b 4.4353
_cell_length_c 4.4353
_cell_angle_alpha 90.00
_cell_angle_beta 90.00
_cell_angle_gamma 90.00
loop_
_atom_site_label
_atom_site_type_symbol
_atom_site_fract_x
_atom_site_fract_y
_atom_site_fract_z
Hf1 Hf 0.0000 0.0000 0.0000
Be1 Be 0.0000 0.0000 0.5000
Ru1 Ru 0.5000 0.5000 0.5000
# Energy of formation from the pure elements   2.10 eV per atom
# M_tot   2.06 μB/cell
# VASP energy   -19.884 eV/cell
# Polymorph energy (0 for the lowest one)   1959 meV/atom

=====

# 8
# Hf2Be2SiRu5, optimized geometry, DFT GGA-PBE
data_Hf2Be2SiRu5
_chemical_formula_sum 'Hf4 Be4 Si2 Ru10'
_space_group_name_H-M_alt 'P 4/m b m'
_space_group_IT_number 127
_space_group_name_Hall '-P 4 2ab'
_cell_length_a 9.3412
_cell_length_b 9.3412
_cell_length_c 3.1331
_cell_angle_alpha 90.00
_cell_angle_beta 90.00
_cell_angle_gamma 90.00
loop_
_atom_site_label
_atom_site_type_symbol
_atom_site_fract_x
_atom_site_fract_y
_atom_site_fract_z
Hf1 Hf 0.1736 0.3264 0.0000
Be1 Be 0.1254 0.6254 0.0000
Si1 Si 0.0000 0.0000 0.0000
Ru1 Ru 0.0000 0.5000 0.5000
Ru2 Ru 0.0687 0.7961 0.5000
# Formation energy without anion corrections   -596 meV/atom
# M_tot   0.00 μB/cell
# VASP energy   -170.243 eV/cell

=====

no.,ρ (g/cm3)
1,10.6
2,6.5
3,11.5
4,6.5
5,7.4
6,10.9
7,5.8
8,11.0